Entry 1:
Here is a relaxed LiPm2Nd3Te6 crystal from Alexandria. Energies are from PBE-GGA.

a b c (Å): 4.459 8.913 9.969
angles (deg): 102.93 102.92 90.00
Fractional coordinates of all 12 atoms:
Te 0.334 0.417 0.668
Te 0.000 0.238 0.001
Te 0.660 0.081 0.320
Te 0.000 0.762 0.999
Te 0.666 0.583 0.332
Te 0.340 0.919 0.680
Nd 0.831 0.168 0.662
Nd 0.169 0.832 0.338
Nd 0.500 0.500 0.000
Li 0.500 0.000 0.000
Pm 0.168 0.338 0.336
Pm 0.832 0.662 0.664

## Properties
uncorrected formation energy = -1.3952 eV/atom

Entry 2:
Here is a relaxed Pa2Tc3Ge5 crystal from Alexandria. Energies are from PBE-GGA.

a b c (Å): 5.830 8.531 8.531
angles (deg): 70.44 70.02 70.02
Fractional coordinates of all 20 atoms:
Pa 0.140 0.592 0.127
Pa 0.640 0.127 0.592
Pa 0.360 0.873 0.408
Pa 0.860 0.408 0.873
Ge 0.453 0.797 0.797
Ge 0.953 0.797 0.797
Ge 0.547 0.203 0.203
Ge 0.047 0.203 0.203
Ge 0.587 0.736 0.091
Ge 0.750 0.500 0.500
Ge 0.913 0.909 0.264
Ge 0.087 0.091 0.736
Ge 0.413 0.264 0.909
Ge 0.250 0.500 0.500
Tc 0.652 0.438 0.259
Tc 0.250 0.000 0.000
Tc 0.348 0.562 0.741
Tc 0.750 0.000 0.000
Tc 0.848 0.741 0.562
Tc 0.152 0.259 0.438

## Properties
formation energy = -4.21 eV per formula unit